1.
Crystalline Tb3SiB2Pt9 at its relaxed geometry. Source: Alexandria via LeMat-Bulk, functional PBE-GGA.

Total magnetization = 0.00 μB per cell
E_form (uncorrected) = -0.889 eV/atom
Raw total energy = -6.6913 eV per atom

Lattice parameters (Å, degrees): 5.7478 5.7478 9.0594 90.00 90.00 120.00
With the nearest neighbours (Å) after each atom.
Space group P-3m1 (No. 164)
Inequivalent atoms, fractional coordinates:
Tb 0.0000 0.0000 0.0000  12 Pt 2.87-3.13
Tb 0.3333 0.6667 0.6026  9 Pt 3.02-3.26
Si 0.0000 0.0000 0.5000  6 Pt 2.48
B 0.3333 0.6667 0.1512  6 Pt 2.13-2.15
Pt 0.0000 0.5000 0.0000  2 B 2.15
Pt 0.1643 0.3286 0.2950  1 B 2.13



2.
Crystalline SiB2TePt at its relaxed geometry. Source: Alexandria via LeMat-Bulk, functional PBE-GGA.

Total magnetization = 0.00 μB per cell
E_form (uncorrected) = 1.887 eV/atom
Raw total energy = -3.7048 eV per atom

Lattice parameters (Å, degrees): 4.3326 4.3326 5.2097 90.00 90.00 90.00
With the nearest neighbours (Å) after each atom.
Space group P4/mmm (No. 123)
Inequivalent atoms, fractional coordinates:
Si 0.0000 0.0000 0.0000  4 Pt 3.06, 8 B 3.39
B 0.0000 0.5000 0.5000  2 Te 2.17
Te 0.5000 0.5000 0.5000  4 B 2.17
Pt 0.5000 0.5000 0.0000  2 Te 2.60



3.
Crystalline Tm2SiBPt6 at its relaxed geometry. Source: Alexandria via LeMat-Bulk, functional PBE-GGA.

Total magnetization = 0.00 μB per cell
E_form (uncorrected) = -0.957 eV/atom
Raw total energy = -6.6858 eV per atom

Lattice parameters (Å, degrees): 5.6457 8.5200 7.2150 90.00 90.00 90.00
With the nearest neighbours (Å) after each atom.
Space group Pmmn (No. 59, origin choice 2)
Inequivalent atoms, fractional coordinates:
Tm 0.2500 0.0334 0.2205  9 Pt 2.98-3.15
Si 0.2500 0.7500 0.8080  6 Pt 2.38-2.57
B 0.2500 0.2500 0.7068  6 Pt 2.12-2.14
Pt 0.9997 0.2500 0.9259  1 B 2.12
Pt 0.0065 0.7500 0.5073  1 B 2.12
Pt 0.2500 0.0024 0.6562  1 B 2.14



4.
Crystalline Y3SiB2Pt9 at its relaxed geometry. Source: Alexandria via LeMat-Bulk, functional PBE-GGA.

Total magnetization = 0.00 μB per cell
E_form (uncorrected) = -0.883 eV/atom
Raw total energy = -7.0519 eV per atom

Lattice parameters (Å, degrees): 5.7483 5.7483 9.0423 90.00 90.00 120.00
With the nearest neighbours (Å) after each atom.
Space group P-3m1 (No. 164)
Inequivalent atoms, fractional coordinates:
Y 0.0000 0.0000 0.0000  12 Pt 2.87-3.13
Y 0.3333 0.6667 0.6022  9 Pt 3.02-3.25
Si 0.0000 0.0000 0.5000  6 Pt 2.47
B 0.3333 0.6667 0.1512  6 Pt 2.13-2.15
Pt 0.0000 0.5000 0.0000  2 B 2.15
Pt 0.1642 0.3284 0.2946  1 B 2.13



5.
Crystalline Y2SiBPt6 at its relaxed geometry. Source: Alexandria via LeMat-Bulk, functional PBE-GGA.

Total magnetization = 0.00 μB per cell
E_form (uncorrected) = -0.953 eV/atom
Raw total energy = -7.0808 eV per atom

Lattice parameters (Å, degrees): 5.6841 8.5723 7.2265 90.00 90.00 90.00
With the nearest neighbours (Å) after each atom.
Space group Pmmn (No. 59, origin choice 2)
Inequivalent atoms, fractional coordinates:
Y 0.2500 0.0329 0.2200  9 Pt 3.00-3.16
Si 0.2500 0.7500 0.8061  6 Pt 2.40-2.58
B 0.2500 0.2500 0.7079  6 Pt 2.12-2.16
Pt 0.9998 0.2500 0.9266  1 B 2.13
Pt 0.0084 0.7500 0.5031  1 B 2.12
Pt 0.2500 0.0021 0.6555  1 B 2.16



6.
Crystalline ZnSi2BPt at its relaxed geometry. Source: Alexandria via LeMat-Bulk, functional PBE-GGA.

Total magnetization = 0.00 μB per cell
E_form (uncorrected) = 0.419 eV/atom
Raw total energy = -4.5485 eV per atom

Lattice parameters (Å, degrees): 4.1779 4.1779 4.0083 90.00 90.00 90.00
With the nearest neighbours (Å) after each atom.
Space group P4/mmm (No. 123)
Inequivalent atoms, fractional coordinates:
Zn 0.0000 0.0000 0.0000  2 B 2.00
Si 0.0000 0.5000 0.5000  2 B 2.09
B 0.0000 0.0000 0.5000  2 Zn 2.00, 4 Si 2.09
Pt 0.5000 0.5000 0.0000  8 Si 2.89, 4 Zn 2.95



7.
Crystalline Sm2B4Pt5 at its relaxed geometry. Source: Alexandria via LeMat-Bulk, functional PBE-GGA.

Total magnetization = 0.00 μB per cell
DFT formation energy = -0.525 eV per atom
Raw total energy = -6.5569 eV per atom

Lattice parameters (Å, degrees): 5.3990 9.8706 6.7598 90.00 113.51 90.00
With the nearest neighbours (Å) after each atom.
Space group C2/m (No. 12)
Inequivalent atoms, fractional coordinates:
Sm 0.1454 0.0000 0.2890  10 Pt 3.10-3.34, 8 B 3.11-3.40
B 0.1303 0.3442 0.2613  5 Pt 2.21-2.31
Pt 0.0000 0.2501 0.5000  4 B 2.21
Pt 0.0000 0.5000 0.0000  4 B 2.23
Pt 0.2500 0.2500 0.0000  4 B 2.30-2.31



8.
Crystalline SmB2Pt8 at its relaxed geometry. Source: Alexandria via LeMat-Bulk, functional PBE-GGA.

Total magnetization = 0.00 μB per cell
DFT formation energy = -0.045 eV per atom
Raw total energy = -6.0818 eV per atom

Lattice parameters (Å, degrees): 5.3115 5.3115 7.3904 90.00 90.00 90.00
With the nearest neighbours (Å) after each atom.
Space group P4/mmm (No. 123)
Inequivalent atoms, fractional coordinates:
Sm 0.0000 0.0000 0.0000  8 Pt 2.99
B 0.0000 0.5000 0.5000  8 Pt 2.34
Pt 0.2525 0.2525 0.3121  2 B 2.34



9.
Crystalline SmB2Pt6 at its relaxed geometry. Source: Alexandria via LeMat-Bulk, functional PBE-GGA.

Total magnetization = 0.00 μB per cell
DFT formation energy = -0.525 eV per atom
Offset from the most stable computed form = 174.7 meV/atom
Raw total energy = -6.5605 eV per atom

Lattice parameters (Å, degrees): 10.7250 10.7250 10.7250 90.00 90.00 90.00
With the nearest neighbours (Å) after each atom.
Space group Fd-3m (No. 227, origin choice 2)
Inequivalent atoms, fractional coordinates:
Sm 0.1250 0.1250 0.1250  6 Pt 3.05
B 0.0000 0.0000 0.5000  6 Pt 2.13
Pt 0.0910 0.3750 0.8750  2 B 2.13



10.
Crystalline SmB2Pt10 at its relaxed geometry. Source: Alexandria via LeMat-Bulk, functional PBE-GGA.

Total magnetization = 0.00 μB per cell
DFT formation energy = -0.246 eV per atom
Raw total energy = -6.2827 eV per atom

Lattice parameters (Å, degrees): 5.3293 10.8435 14.4949 90.00 90.00 90.00
With the nearest neighbours (Å) after each atom.
Space group Fmmm (No. 69)
Inequivalent atoms, fractional coordinates:
Sm 0.0000 0.0000 0.0000  8 Pt 2.90-3.02
B 0.2500 0.0000 0.2500  4 Pt 2.22
Pt 0.0000 0.1258 0.3639  2 B 2.52, 7 Pt 2.71-2.74
Pt 0.0000 0.1294 0.1748  2 B 2.22
Pt 0.2500 0.2500 0.0000  6 Pt 2.66-2.74



11.
Crystalline SmB3Pt9 at its relaxed geometry. Source: Alexandria via LeMat-Bulk, functional PBE-GGA.

Total magnetization = 0.00 μB per cell
DFT formation energy = -0.252 eV per atom
Raw total energy = -6.3377 eV per atom

Lattice parameters (Å, degrees): 7.9085 7.9085 4.1114 90.00 90.00 120.00
With the nearest neighbours (Å) after each atom.
Space group P6/mmm (No. 191)
Inequivalent atoms, fractional coordinates:
Sm 0.0000 0.0000 0.0000  12 Pt 3.42
B 0.0000 0.5000 0.5000  6 Pt 2.06-2.10
Pt 0.0000 0.5000 0.0000  2 B 2.06
Pt 0.1992 0.3985 0.5000  2 B 2.10



12.
Crystalline SmBPt6 at its relaxed geometry. Source: Alexandria via LeMat-Bulk, functional PBE-GGA.

Total magnetization = 0.00 μB per cell
DFT formation energy = -0.550 eV per atom
Raw total energy = -6.5054 eV per atom

Lattice parameters (Å, degrees): 5.6283 5.6283 15.3251 90.00 90.00 120.00
With the nearest neighbours (Å) after each atom.
Space group R-3m (No. 166, hexagonal axes)
Inequivalent atoms, fractional coordinates:
Sm 0.0000 0.0000 0.0000  12 Pt 3.12
B 0.0000 0.0000 0.5000  6 Pt 2.09
Pt 0.0148 0.5074 0.9129  1 B 2.09



13.
Crystalline Sm3B2Pt9 at its relaxed geometry. Source: Alexandria via LeMat-Bulk, functional PBE-GGA.

Total magnetization = 0.00 μB per cell
DFT formation energy = -0.850 eV per atom
Raw total energy = -6.6988 eV per atom

Lattice parameters (Å, degrees): 6.1644 6.1644 14.4794 90.00 90.00 120.00
With the nearest neighbours (Å) after each atom.
Space group P6_3/mmc (No. 194)
Inequivalent atoms, fractional coordinates:
Sm 0.0000 0.0000 0.2500  12 Pt 2.96-3.08
Sm 0.3333 0.6667 0.0795  12 Pt 3.00-3.08, 1 B 3.31
B 0.3333 0.6667 0.6493  6 Pt 2.13-2.29
Pt 0.0023 0.5012 0.7500  2 B 2.29
Pt 0.1568 0.3137 0.5813  1 B 2.13



14.
Crystalline Sm2BPt6 at its relaxed geometry. Source: Alexandria via LeMat-Bulk, functional PBE-GGA.

Total magnetization = 0.00 μB per cell
DFT formation energy = -0.842 eV per atom
Raw total energy = -6.6596 eV per atom

Lattice parameters (Å, degrees): 10.0847 5.7935 5.5341 90.00 104.52 90.00
With the nearest neighbours (Å) after each atom.
Space group C2/m (No. 12)
Inequivalent atoms, fractional coordinates:
Sm 0.1344 0.0000 0.3019  11 Pt 2.92-3.22
B 0.0000 0.5000 0.5000  6 Pt 2.17-2.26
Pt 0.1255 0.5000 0.2346  1 B 2.17
Pt 0.1273 0.2503 0.7787  1 B 2.26



15.
Crystalline SmB2Pt6 at its relaxed geometry. Source: Alexandria via LeMat-Bulk, functional PBE-GGA.

Total magnetization = 0.00 μB per cell
DFT formation energy = -0.700 eV per atom
Offset from the most stable computed form = 0.0 meV/atom
Raw total energy = -6.7352 eV per atom

Lattice parameters (Å, degrees): 5.6239 5.6239 5.5578 90.00 90.00 120.00
With the nearest neighbours (Å) after each atom.
Space group P6/mmm (No. 191)
Inequivalent atoms, fractional coordinates:
Sm 0.0000 0.0000 0.0000  12 Pt 3.13
B 0.3333 0.6667 0.5000  6 Pt 2.15
Pt 0.0000 0.5000 0.2461  2 B 2.15



16.
Crystalline SmB4Pt4 at its relaxed geometry. Source: Alexandria via LeMat-Bulk, functional PBE-GGA.

Total magnetization = 0.00 μB per cell
DFT formation energy = -0.461 eV per atom
Raw total energy = -6.6382 eV per atom

Lattice parameters (Å, degrees): 8.0365 8.0365 3.8670 90.00 90.00 90.00
With the nearest neighbours (Å) after each atom.
Space group P4_2/n (No. 86, origin choice 2)
Inequivalent atoms, fractional coordinates:
Sm 0.2500 0.2500 0.2500  8 B 3.08-3.20, 4 Pt 3.13
B 0.0325 0.9203 0.1552  1 B 1.83
Pt 0.0755 0.6623 0.1536  4 B 2.10-2.20



17.
Crystalline Sm3SnB2Pt9 at its relaxed geometry. Source: Alexandria via LeMat-Bulk, functional PBE-GGA.

Total magnetization = 0.00 μB per cell
DFT formation energy = -0.795 eV per atom
Raw total energy = -6.5206 eV per atom

Lattice parameters (Å, degrees): 5.8172 5.8172 9.4660 90.00 90.00 120.00
With the nearest neighbours (Å) after each atom.
Space group P-3m1 (No. 164)
Inequivalent atoms, fractional coordinates:
Sm 0.0000 0.0000 0.0000  12 Pt 2.91-3.13
Sm 0.3333 0.6667 0.6187  6 Pt 3.07
Sn 0.0000 0.0000 0.5000  6 Pt 2.69
B 0.3333 0.6667 0.1435  6 Pt 2.11-2.16
Pt 0.0000 0.5000 0.0000  2 B 2.16
Pt 0.1669 0.3339 0.2783  1 B 2.11



18.
Crystalline Sm2SnBPt6 at its relaxed geometry. Source: Alexandria via LeMat-Bulk, functional PBE-GGA.

Total magnetization = 0.00 μB per cell
DFT formation energy = -0.837 eV per atom
Raw total energy = -6.4730 eV per atom

Lattice parameters (Å, degrees): 5.7824 8.7419 7.6147 90.00 90.00 90.00
With the nearest neighbours (Å) after each atom.
Space group Pmmn (No. 59, origin choice 2)
Inequivalent atoms, fractional coordinates:
Sm 0.2500 0.0280 0.2251  7 Pt 2.99-3.18
Sn 0.2500 0.7500 0.8268  6 Pt 2.61-2.79
B 0.2500 0.2500 0.6851  6 Pt 2.11-2.15
Pt 0.0088 0.2500 0.8925  1 B 2.11
Pt 0.0099 0.7500 0.5093  1 B 2.11
Pt 0.2500 0.0077 0.6392  1 B 2.15



19.
Crystalline Sn3BPt at its relaxed geometry. Source: Alexandria via LeMat-Bulk, functional PBE-GGA.

Total magnetization = 0.00 μB per cell
DFT formation energy = 0.994 eV per atom
Offset from the most stable computed form = 427.8 meV/atom
Raw total energy = -3.9515 eV per atom

Lattice parameters (Å, degrees): 5.2149 5.2149 5.2149 90.00 90.00 90.00
With the nearest neighbours (Å) after each atom.
Space group Pm-3m (No. 221)
Inequivalent atoms, fractional coordinates:
Sn 0.0000 0.0000 0.5000  2 Pt 2.61
B 0.5000 0.5000 0.5000  12 Sn 3.69
Pt 0.0000 0.0000 0.0000  6 Sn 2.61